{"formula": "DyYCo", "functional": "PBE", "state": "optimized geometry", "ef_kcal_per_mol_atoms": 1.15, "crystal_system": "tetragonal", "cell": [[4.768, 0.000, 0.000], [0.000, 4.768, 0.000], [0.000, 0.000, 6.821]], "species": ["Co", "Co", "Dy", "Dy", "Y", "Y"], "frac_coords": [[0.500, 0.000, 0.000], [0.000, 0.500, 0.500], [0.000, 0.000, 0.000], [0.000, 0.000, 0.500], [0.500, 0.500, 0.250], [0.500, 0.500, 0.750]]}